1.
Entry from Alexandria: a geometry-optimized La3SmHo5 structure (PBE).

Unit cell a=7.123 b=9.888 c=9.887 alpha=120.00 beta=90.00 gamma=90.00
Fractional positions:
La1 0.750 0.356 0.356
La2 0.750 0.000 0.644
La3 0.750 0.644 0.000
La4 0.250 0.644 0.644
La5 0.250 0.000 0.356
La6 0.250 0.356 0.000
Sm1 0.000 0.000 0.000
Sm2 0.500 0.000 0.000
Ho1 0.000 0.667 0.333
Ho2 0.500 0.333 0.667
Ho3 0.000 0.333 0.667
Ho4 0.500 0.667 0.333
Ho5 0.750 0.685 0.685
Ho6 0.750 0.000 0.315
Ho7 0.750 0.315 0.000
Ho8 0.250 0.315 0.315
Ho9 0.250 0.000 0.685
Ho10 0.250 0.685 0.000


2.
Entry from Alexandria: a geometry-optimized La2Sm7Ho2 structure (PBE).

Unit cell a=10.866 b=10.866 c=11.164 alpha=126.98 beta=126.98 gamma=85.53
Fractional positions:
La1 0.356 0.679 0.424
La2 0.321 0.644 0.076
La3 0.679 0.356 0.924
La4 0.644 0.321 0.576
Sm1 0.097 0.625 0.490
Sm2 0.027 0.312 0.861
Sm3 0.427 0.318 0.197
Sm4 0.965 0.035 0.250
Sm5 0.625 0.097 0.990
Sm6 0.312 0.027 0.361
Sm7 0.318 0.427 0.697
Sm8 0.682 0.573 0.303
Sm9 0.688 0.973 0.639
Sm10 0.375 0.903 0.010
Sm11 0.035 0.965 0.750
Sm12 0.573 0.682 0.803
Sm13 0.973 0.688 0.139
Sm14 0.903 0.375 0.510
Ho1 0.110 0.247 0.192
Ho2 0.247 0.110 0.692
Ho3 0.753 0.890 0.308
Ho4 0.890 0.753 0.808


3.
Entry from Alexandria: a geometry-optimized La8SmHo2 structure (PBE).

Unit cell a=6.103 b=9.280 c=9.623 alpha=61.17 beta=74.24 gamma=55.72
Fractional positions:
La1 0.815 0.096 0.240
La2 0.815 0.336 0.760
La3 0.298 0.421 0.000
La4 0.500 0.794 0.411
La5 0.500 0.206 0.589
La6 0.702 0.579 0.000
La7 0.185 0.664 0.240
La8 0.185 0.904 0.760
Sm1 0.500 0.000 0.000
Ho1 0.000 0.311 0.377
Ho2 0.000 0.689 0.623


Result set for M_tot: 0.000, 0.000, 0.000 μB/atom, one per record in the order listed.
Result set for ΔH_f (0 K): 70.5, 171.2, 121.7 meV/atom, one per record in the order listed.
Result set for calculated density: 7.7, 7.3, 6.7 Mg/m³, one per record in the order listed.